{"formula": "La2CrPPt", "functional": "PBE-GGA", "state": "relaxed", "mass_density_g_cm3": 6.56, "dos_ef_per_ev_cell": 4.82, "total_energy_ev_per_atom": -6.43, "cell": [[5.620, 0.000, 0.000], [0.000, 5.620, 0.000], [0.000, 0.000, 4.457]], "species": ["La", "La", "Cr", "P", "Pt"], "frac_coords": [[0.000, 0.500, 0.000], [0.500, 0.000, 0.000], [0.000, 0.000, 0.500], [0.500, 0.500, 0.000], [0.500, 0.500, 0.500]]}